Here is an optimized crystal structure of GdErCl2 from Alexandria via LeMat-Bulk. Energies are from GGA-PBE.

CIF file:
```
data_GdErCl2
_chemical_formula_sum 'Gd3 Er3 Cl6'
_space_group_name_H-M_alt 'R -3 m'
_space_group_IT_number 166
_space_group_name_Hall '-R 3 2"'
_cell_length_a 3.5860
_cell_length_b 3.5860
_cell_length_c 28.2784
_cell_angle_alpha 90.00
_cell_angle_beta 90.00
_cell_angle_gamma 120.00
loop_
_atom_site_label
_atom_site_fract_x
_atom_site_fract_y
_atom_site_fract_z
Gd1 0.0000 0.0000 0.0000
Er1 0.0000 0.0000 0.5000
Cl1 0.0000 0.0000 0.4050
```

Computed properties:
formation energy without anion corrections	-1.28	eV per atom
E_tot	-27.44	eV per formula unit
Fermi-level density of states	2.72	states/eV/f.u.
spin magnetization	6.976	μB per formula unit